BeCrRhO4: optimized geometry, PBE with a Hubbard U.

Electronic total energy ... -7.131 eV/atom
V ... 67 Å³/f.u.
ρ ... 5.7 g/cm³

Unit cell a=5.7421 b=5.7604 c=8.0903 alpha=90.00 beta=90.00 gamma=90.00
Space group Imma (No. 74)
One atom of each set of equivalent atoms:
Be 0.0000 0.2500 0.1214 [4 per cell]
Cr 0.0000 0.0000 0.5000 [4 per cell]
Rh 0.2500 0.2500 0.7500 [4 per cell]
O 0.0000 0.0093 0.2487 [8 per cell]
O 0.2501 0.2500 0.0068 [8 per cell]